[1]
Th2Rh3Au2 | GGA-PBE | relaxed

a = 4.2268 Å, b = 5.4000 Å, c = 7.6559 Å
α = 103.45°, β = 106.02°, γ = 113.04°
Fractional coordinates of all 7 atoms:
Th 0.8273 0.4505 0.2043
Th 0.1727 0.5495 0.7957
Rh 0.0000 0.0000 0.0000
Rh 0.4711 0.1473 0.7948
Rh 0.5289 0.8527 0.2052
Au 0.3080 0.1880 0.4281
Au 0.6920 0.8120 0.5719



[2]
AlSi2W | GGA-PBE | relaxed

a = 4.8622 Å, b = 4.8622 Å, c = 4.5455 Å
α = 84.08°, β = 84.08°, γ = 32.93°
Fractional coordinates of all 4 atoms:
Si 0.9906 0.9906 0.0163
Si 0.7629 0.7629 0.7354
Al 0.2436 0.2436 0.2367
W 0.5029 0.5029 0.5116



[3]
PuPa2CuN5 | GGA-PBE | relaxed

a = 3.3945 Å, b = 6.8368 Å, c = 10.4228 Å
α = 90.00°, β = 90.00°, γ = 104.37°
Fractional coordinates of all 18 atoms:
Pu 0.8174 0.6348 0.4966
Pu 0.1826 0.3652 0.9966
Pa 0.8732 0.7464 0.7941
Pa 0.1264 0.2528 0.6837
Pa 0.1268 0.2536 0.2941
Pa 0.8736 0.7472 0.1837
Cu 0.4930 0.9861 0.9855
Cu 0.5070 0.0139 0.4855
N 0.3430 0.6861 0.0148
N 0.6993 0.3987 0.8268
N 0.4909 0.9817 0.7922
N 0.3001 0.6001 0.6520
N 0.9688 0.9376 0.5782
N 0.6570 0.3139 0.5148
N 0.3007 0.6013 0.3268
N 0.5091 0.0183 0.2922
N 0.6999 0.3999 0.1520
N 0.0312 0.0624 0.0782



[4]
Tc2RuPbN | GGA-PBE | relaxed

a = 5.2954 Å, b = 5.0650 Å, c = 5.2954 Å
α = 90.00°, β = 90.00°, γ = 90.00°
Fractional coordinates of all 5 atoms:
Pb 0.0000 0.0000 0.0000
Ru 0.0000 0.5000 0.0000
Tc 0.0000 0.0000 0.5000
Tc 0.5000 0.0000 0.0000
N 0.5000 0.5000 0.5000



[5]
Th5FeSe5 | GGA-PBE | relaxed

a = 5.9372 Å, b = 7.2938 Å, c = 8.3172 Å
α = 107.74°, β = 90.00°, γ = 114.02°
Fractional coordinates of all 11 atoms:
Th 0.8432 0.6865 0.1557
Th 0.8503 0.7005 0.6989
Th 0.5000 0.0000 0.0000
Th 0.1497 0.2995 0.3011
Th 0.1568 0.3135 0.8443
Fe 0.0000 0.0000 0.0000
Se 0.6787 0.3574 0.3421
Se 0.6594 0.3189 0.8161
Se 0.0000 0.0000 0.5000
Se 0.3406 0.6811 0.1839
Se 0.3213 0.6426 0.6579



[6]
Ce3ScGe6 | GGA-PBE | relaxed

a = 7.7024 Å, b = 7.7024 Å, c = 7.7024 Å
α = 97.54°, β = 97.54°, γ = 97.54°
Fractional coordinates of all 20 atoms:
Ce 0.1831 0.7500 0.3169
Ce 0.3169 0.1831 0.7500
Ce 0.2500 0.6831 0.8169
Ce 0.7500 0.3169 0.1831
Ce 0.6831 0.8169 0.2500
Ce 0.8169 0.2500 0.6831
Sc 0.0000 0.0000 0.0000
Sc 0.5000 0.5000 0.5000
Ge 0.9121 0.6298 0.9879
Ge 0.0121 0.0879 0.3702
Ge 0.1298 0.4121 0.4880
Ge 0.3702 0.0121 0.0879
Ge 0.4121 0.4880 0.1298
Ge 0.5120 0.8702 0.5879
Ge 0.4880 0.1298 0.4121
Ge 0.5879 0.5120 0.8702
Ge 0.6298 0.9879 0.9121
Ge 0.8702 0.5879 0.5120
Ge 0.9879 0.9121 0.6298
Ge 0.0879 0.3702 0.0121



[7]
Y2HfUP4 | GGA-PBE | relaxed

a = 3.8957 Å, b = 6.7366 Å, c = 6.7899 Å
α = 109.14°, β = 90.00°, γ = 90.00°
Fractional coordinates of all 8 atoms:
Y 0.5000 0.0000 0.5000
Y 0.0000 0.5000 0.5000
Hf 0.0000 0.0000 0.0000
U 0.5000 0.5000 0.0000
P 0.5000 0.2392 0.2333
P 0.5000 0.7608 0.7667
P 0.0000 0.2469 0.7614
P 0.0000 0.7531 0.2386



[8]
NaScTaH2 | GGA-PBE | relaxed

a = 4.0639 Å, b = 5.3528 Å, c = 4.0639 Å
α = 90.00°, β = 90.00°, γ = 90.00°
Fractional coordinates of all 5 atoms:
Sc 0.0000 0.0000 0.0000
Na 0.5000 0.5000 0.5000
H 0.0000 0.0000 0.5000
H 0.5000 0.0000 0.0000
Ta 0.0000 0.5000 0.0000



[9]
GeW | GGA-PBE | relaxed

a = 9.9882 Å, b = 9.9882 Å, c = 3.2485 Å
α = 90.00°, β = 90.00°, γ = 90.00°
Fractional coordinates of all 16 atoms:
Ge 0.2063 0.1445 0.0000
Ge 0.7937 0.8555 0.0000
Ge 0.8555 0.2063 0.0000
Ge 0.1445 0.7937 0.0000
Ge 0.7063 0.6445 0.5000
Ge 0.2937 0.3555 0.5000
Ge 0.3555 0.7063 0.5000
Ge 0.6445 0.2937 0.5000
W 0.3595 0.9369 0.0000
W 0.6405 0.0631 0.0000
W 0.0631 0.3595 0.0000
W 0.9369 0.6405 0.0000
W 0.8595 0.4369 0.5000
W 0.1405 0.5631 0.5000
W 0.5631 0.8595 0.5000
W 0.4369 0.1405 0.5000

Summary:
For the polymorph energy (0 for the lowest one), the calculation gives 100 meV per atom.



[10]
ErLu2Sn | GGA-PBE | relaxed

a = 3.4223 Å, b = 3.4223 Å, c = 11.7739 Å
α = 81.64°, β = 81.64°, γ = 60.00°
Fractional coordinates of all 4 atoms:
Lu 0.0950 0.0950 0.7150
Lu 0.9050 0.9050 0.2850
Sn 0.5000 0.5000 0.5000
Er 0.0000 0.0000 0.0000

Summary:
For the polymorph energy (0 for the lowest one), the calculation gives 428 meV per atom.



[11]
InPd5Pt4 | GGA-PBE | relaxed

a = 4.7298 Å, b = 8.2519 Å, c = 9.1894 Å
α = 90.00°, β = 90.00°, γ = 90.00°
Fractional coordinates of all 20 atoms:
In 0.0216 0.0000 0.0000
In 0.9784 0.5000 0.5000
Pd 0.2520 0.8314 0.7510
Pd 0.2520 0.1686 0.7510
Pd 0.6000 0.5000 0.0000
Pd 0.2520 0.8314 0.2490
Pd 0.2520 0.1686 0.2490
Pd 0.7480 0.6686 0.2510
Pd 0.7480 0.3314 0.2510
Pd 0.4000 0.0000 0.5000
Pd 0.7480 0.3314 0.7490
Pd 0.7480 0.6686 0.7490
Pt 0.7422 0.0000 0.7429
Pt 0.0992 0.6726 0.0000
Pt 0.0992 0.3274 0.0000
Pt 0.7422 0.0000 0.2571
Pt 0.2578 0.5000 0.2429
Pt 0.9008 0.8274 0.5000
Pt 0.9008 0.1726 0.5000
Pt 0.2578 0.5000 0.7571



[12]
Cr2Pb | GGA-PBE | relaxed

a = 5.6460 Å, b = 5.6460 Å, c = 6.6332 Å
α = 86.63°, β = 86.63°, γ = 32.24°
Fractional coordinates of all 6 atoms:
Cr 0.9585 0.9585 0.1047
Cr 0.3336 0.3336 0.3354
Cr 0.7196 0.7196 0.5695
Cr 0.6045 0.6045 0.2647
Pb 0.9826 0.9826 0.6135
Pb 0.2345 0.2345 0.9454

Summary:
For the polymorph energy (0 for the lowest one), the calculation gives 156 meV per atom.



| no. | total DFT energy (no corrections) (eV per formula unit) | DOS(E_F) (states/eV per cell) |
| --- | --- | --- |
| 1 | -48.639 | 4.07 |
| 2 | -27.135 | 1.28 |
| 3 | -88.352 | 10.64 |
| 4 | -24.964 | 10.72 |
| 5 | -77.776 | 8.09 |
| 6 | -58.411 | 34.75 |
| 7 | -66.759 | 7.13 |
| 8 | -21.139 | 5.57 |
| 9 | -16.850 | 8.10 |
| 10 | -17.416 | 5.55 |
| 11 | -52.683 | 34.35 |
| 12 | -21.193 | 4.45 |